Record 1
Y4Ga5Ge2: optimized geometry, PBE.

## Properties
- energy of formation from the pure elements (meV per atom) = -649
- size of the total moment (μB/f.u.) = 0.000
- raw total energy (eV per atom) = -5.22
- crystal system = monoclinic

Cell: 7.0146 4.2838 7.9956 Å, 90.00 91.27 90.00°
Space group P2/m (No. 10)
Inequivalent atoms, fractional coordinates:
Y (0.2234, 0.0000, 0.3669) (multiplicity 2)
Y (0.2439, 0.0000, 0.8924) (multiplicity 2)
Ga (0.1311, 0.5000, 0.6192) (multiplicity 2)
Ga (0.4571, 0.5000, 0.1619) (multiplicity 2)
Ga (0.5000, 0.5000, 0.5000) (multiplicity 1)
Ge (0.0883, 0.5000, 0.1346) (multiplicity 2)

Record 2
Tb2MgS3: optimized geometry, PBE.

## Properties
- size of the total moment (μB/f.u.) = 0.000
- raw total energy (eV per atom) = -5.64
- crystal system = tetragonal

Cell: 3.8538 3.8538 16.5705 Å, 90.00 90.00 90.00°
Space group I4/mmm (No. 139)
Inequivalent atoms, fractional coordinates:
Tb (0.0000, 0.0000, 0.1732) (multiplicity 4)
Mg (0.0000, 0.0000, 0.5000) (multiplicity 2)
S (0.0000, 0.0000, 0.0000) (multiplicity 2)
S (0.0000, 0.0000, 0.3435) (multiplicity 4)

Copy entry 1 word for word.
Y4Ga5Ge2: optimized geometry, PBE.

## Properties
- energy of formation from the pure elements (meV per atom) = -649
- size of the total moment (μB/f.u.) = 0.000
- raw total energy (eV per atom) = -5.22
- crystal system = monoclinic

Cell: 7.0146 4.2838 7.9956 Å, 90.00 91.27 90.00°
Space group P2/m (No. 10)
Inequivalent atoms, fractional coordinates:
Y (0.2234, 0.0000, 0.3669) (multiplicity 2)
Y (0.2439, 0.0000, 0.8924) (multiplicity 2)
Ga (0.1311, 0.5000, 0.6192) (multiplicity 2)
Ga (0.4571, 0.5000, 0.1619) (multiplicity 2)
Ga (0.5000, 0.5000, 0.5000) (multiplicity 1)
Ge (0.0883, 0.5000, 0.1346) (multiplicity 2)